# 1
A plane-wave DFT calculation with GGA-PBE was carried out for SmHoAl2Pd4 after structural relaxation.

a = 4.380 Å, b = 4.380 Å, c = 9.217 Å
α = 90.00°, β = 90.00°, γ = 120.00°
Sites, in units of the cell vectors:
Al1 0.667 0.333 0.244
Al2 0.667 0.333 0.756
Ho1 0.000 0.000 0.000
Pd1 0.333 0.667 0.167
Pd2 0.000 0.000 0.323
Pd3 0.000 0.000 0.677
Pd4 0.333 0.667 0.833
Sm1 0.333 0.667 0.500

* VASP energy: -0.4127 Ry per atom
* spin magnetization: 0.0 μB/cell



# 2
A plane-wave DFT calculation with GGA-PBE was carried out for SrHoAl4Pd2 after structural relaxation.

a = 7.265 Å, b = 5.619 Å, c = 5.619 Å
α = 44.74°, β = 90.00°, γ = 90.00°
Sites, in units of the cell vectors:
Al1 0.188 0.155 0.155
Al2 0.812 0.155 0.155
Al3 0.299 0.846 0.846
Al4 0.701 0.846 0.846
Ho1 0.000 0.437 0.437
Pd1 0.500 0.284 0.284
Pd2 0.000 0.715 0.715
Sr1 0.500 0.562 0.562

* VASP energy: -0.3389 Ry per atom
* spin magnetization: 0.0 μB/cell



# 3
A plane-wave DFT calculation with GGA-PBE was carried out for TbHoAl2Pd4 after structural relaxation.

a = 4.364 Å, b = 4.364 Å, c = 9.126 Å
α = 90.00°, β = 90.00°, γ = 120.00°
Sites, in units of the cell vectors:
Al1 0.667 0.333 0.249
Al2 0.667 0.333 0.751
Ho1 0.000 0.000 0.000
Pd1 0.333 0.667 0.168
Pd2 0.000 0.000 0.328
Pd3 0.000 0.000 0.672
Pd4 0.333 0.667 0.832
Tb1 0.333 0.667 0.500

* VASP energy: -0.4132 Ry per atom
* spin magnetization: 0.0 μB/cell



# 4
A plane-wave DFT calculation with GGA-PBE was carried out for TbHoAl4Pd2 after structural relaxation.

a = 6.951 Å, b = 5.530 Å, c = 5.530 Å
α = 45.85°, β = 90.00°, γ = 90.00°
Sites, in units of the cell vectors:
Al1 0.196 0.142 0.142
Al2 0.804 0.142 0.142
Al3 0.303 0.858 0.858
Al4 0.697 0.858 0.858
Ho1 0.000 0.428 0.428
Pd1 0.500 0.290 0.290
Pd2 0.000 0.709 0.709
Tb1 0.500 0.572 0.572

* VASP energy: -0.3756 Ry per atom
* spin magnetization: 0.0 μB/cell